# 1
# SrAs4Pd12, relaxed, DFT PBE
data_SrAs4Pd12
_chemical_formula_sum 'Sr2 As8 Pd24'
_symmetry_space_group_name_H-M 'I m -3'
_symmetry_Int_Tables_number 204
_symmetry_space_group_name_Hall '-I 2 2 3'
_cell_length_a 8.618
_cell_length_b 8.618
_cell_length_c 8.618
_cell_angle_alpha 90.00
_cell_angle_beta 90.00
_cell_angle_gamma 90.00
loop_
_atom_site_label
_atom_site_type_symbol
_atom_site_fract_x
_atom_site_fract_y
_atom_site_fract_z
Sr1 Sr 0.000 0.000 0.000
As1 As 0.250 0.250 0.250
Pd1 Pd 0.000 0.345 0.168
# Theoretical density = 8.6 Mg/m³
# E_form = -263.7 meV/atom



# 2
# SmGeAu, relaxed, DFT PBE
data_SmGeAu
_chemical_formula_sum 'Sm2 Ge2 Au2'
_symmetry_space_group_name_H-M 'P 63 m c'
_symmetry_Int_Tables_number 186
_symmetry_space_group_name_Hall 'P 6c -2c'
_cell_length_a 4.5078
_cell_length_b 4.5078
_cell_length_c 7.5778
_cell_angle_alpha 90.00
_cell_angle_beta 90.00
_cell_angle_gamma 120.00
loop_
_atom_site_label
_atom_site_type_symbol
_atom_site_fract_x
_atom_site_fract_y
_atom_site_fract_z
Sm1 Sm 0.0000 0.0000 0.0000
Ge1 Ge 0.3333 0.6667 0.2115
Au1 Au 0.3333 0.6667 0.7782
# Theoretical density = 10.5 Mg/m³
# E_form = -838.1 meV/atom



# 3
# AlFe2Cu2, relaxed, DFT PBE
data_AlFe2Cu2
_chemical_formula_sum 'Al2 Fe4 Cu4'
_symmetry_space_group_name_H-M 'P 4/m b m'
_symmetry_Int_Tables_number 127
_symmetry_space_group_name_Hall '-P 4 2ab'
_cell_length_a 6.118
_cell_length_b 6.118
_cell_length_c 3.513
_cell_angle_alpha 90.00
_cell_angle_beta 90.00
_cell_angle_gamma 90.00
loop_
_atom_site_label
_atom_site_type_symbol
_atom_site_fract_x
_atom_site_fract_y
_atom_site_fract_z
Al1 Al 0.000 0.000 0.000
Fe1 Fe 0.128 0.372 0.000
Cu1 Cu 0.167 0.667 0.500
# Theoretical density = 6.7 Mg/m³
# E_form = 252.3 meV/atom
# Energy above the lowest structure with this stoichiometry = 64 meV per atom



# 4
# Dy6ZnSi2, relaxed, DFT PBE
data_Dy6ZnSi2
_chemical_formula_sum 'Dy24 Zn4 Si8'
_symmetry_space_group_name_H-M 'I m m m'
_symmetry_Int_Tables_number 71
_symmetry_space_group_name_Hall '-I 2 2'
_cell_length_a 9.530
_cell_length_b 9.566
_cell_length_c 10.089
_cell_angle_alpha 90.00
_cell_angle_beta 90.00
_cell_angle_gamma 90.00
loop_
_atom_site_label
_atom_site_type_symbol
_atom_site_fract_x
_atom_site_fract_y
_atom_site_fract_z
Dy1 Dy 0.000 0.205 0.175
Dy2 Dy 0.177 0.234 0.500
Dy3 Dy 0.196 0.500 0.250
Zn1 Zn 0.000 0.500 0.000
Zn2 Zn 0.000 0.500 0.500
Si1 Si 0.000 0.000 0.382
Si2 Si 0.144 0.000 0.000
# Raw formation energy = -0.47 eV per atom
# Theoretical density = 7.9 Mg/m³



# 5
# V2AsP, relaxed, DFT PBE
data_V2AsP
_chemical_formula_sum 'V8 As4 P4'
_symmetry_space_group_name_H-M 'F m -3 m'
_symmetry_Int_Tables_number 225
_symmetry_space_group_name_Hall '-F 4 2 3'
_cell_length_a 6.010
_cell_length_b 6.010
_cell_length_c 6.010
_cell_angle_alpha 90.00
_cell_angle_beta 90.00
_cell_angle_gamma 90.00
loop_
_atom_site_label
_atom_site_type_symbol
_atom_site_fract_x
_atom_site_fract_y
_atom_site_fract_z
V1 V 0.250 0.250 0.250
As1 As 0.000 0.000 0.000
P1 P 0.000 0.000 0.500
# Theoretical density = 6.4 Mg/m³
# E_form = -308.4 meV/atom



# 6
# LaSiRu2, relaxed, DFT PBE
data_LaSiRu2
_chemical_formula_sum 'La2 Si2 Ru4'
_symmetry_space_group_name_H-M 'C 1 2/m 1'
_symmetry_Int_Tables_number 12
_cell_length_a 7.317
_cell_length_b 4.058
_cell_length_c 5.338
_cell_angle_alpha 90.00
_cell_angle_beta 101.10
_cell_angle_gamma 90.00
loop_
_symmetry_equiv_pos_as_xyz
'x,y,z'
'-x,-y,-z'
'-x,y,-z'
'x,-y,z'
'x+1/2,y+1/2,z'
'-x+1/2,-y+1/2,-z'
'-x+1/2,y+1/2,-z'
'x+1/2,-y+1/2,z'
loop_
_atom_site_label
_atom_site_type_symbol
_atom_site_fract_x
_atom_site_fract_y
_atom_site_fract_z
La1 La 0.000 0.000 0.000
Si1 Si 0.000 0.500 0.500
Ru1 Ru 0.195 0.000 0.626
# Raw formation energy = -0.37 eV per atom
# Theoretical density = 7.9 Mg/m³



# 7
# MnFe2Cu, relaxed, DFT PBE
data_MnFe2Cu
_chemical_formula_sum 'Mn2 Fe4 Cu2'
_symmetry_space_group_name_H-M 'C m m 2'
_symmetry_Int_Tables_number 35
_cell_length_a 2.811
_cell_length_b 4.014
_cell_length_c 8.250
_cell_angle_alpha 90.00
_cell_angle_beta 90.00
_cell_angle_gamma 90.00
loop_
_symmetry_equiv_pos_as_xyz
'x,y,z'
'-x,-y,z'
'-x,y,z'
'x,-y,z'
'x+1/2,y+1/2,z'
'-x+1/2,-y+1/2,z'
'-x+1/2,y+1/2,z'
'x+1/2,-y+1/2,z'
loop_
_atom_site_label
_atom_site_type_symbol
_atom_site_fract_x
_atom_site_fract_y
_atom_site_fract_z
Mn1 Mn 0.000 0.000 0.000
Fe1 Fe 0.000 0.000 0.491
Fe2 Fe 0.000 0.500 0.245
Cu1 Cu 0.000 0.500 0.745
# Theoretical density = 8.2 Mg/m³
# E_form = 159.6 meV/atom



# 8
# Sm3InSn2, relaxed, DFT PBE
data_Sm3InSn2
_chemical_formula_sum 'Sm12 In4 Sn8'
_symmetry_space_group_name_H-M 'P n m a'
_symmetry_Int_Tables_number 62
_cell_length_a 12.646
_cell_length_b 4.660
_cell_length_c 11.972
_cell_angle_alpha 90.00
_cell_angle_beta 90.00
_cell_angle_gamma 90.00
loop_
_symmetry_equiv_pos_as_xyz
'x,y,z'
'-x,-y,-z'
'-x+1/2,-y,z+1/2'
'x+1/2,y,-z+1/2'
'x+1/2,-y+1/2,-z+1/2'
'-x+1/2,y+1/2,z+1/2'
'-x,y+1/2,-z'
'x,-y+1/2,z'
loop_
_atom_site_label
_atom_site_type_symbol
_atom_site_fract_x
_atom_site_fract_y
_atom_site_fract_z
Sm1 Sm 0.041 0.250 0.122
Sm2 Sm 0.135 0.750 0.572
Sm3 Sm 0.205 0.250 0.810
In1 In 0.140 0.250 0.367
Sn1 Sn 0.008 0.750 0.318
Sn2 Sn 0.183 0.750 0.024
# Theoretical density = 7.6 Mg/m³
# E_form = -603.4 meV/atom



Q: theoretical density of number 4 (Dy6ZnSi2)?
A: 7.9 Mg/m³



Q: Which of these has the lowest theoretical density?
A: V2AsP